The following is a PBE+U calculation of a relaxed Li3MnCoO5 crystal, from Alexandria.

a b c (Å): 12.1421 12.1421 5.1751
angles (deg): 92.66 92.66 13.63
Closest atoms and distances in Å follow each position.
Fractional positions:
Li (0.0000, 0.0000, 0.0000)  6 O 2.04-2.15
Li (0.0965, 0.0965, 0.6725)  3 O 1.98
Li (0.3067, 0.3067, 0.1122)  5 O 2.08-2.18
Li (0.5051, 0.5051, 0.5031)  5 O 2.10-2.23
Li (0.6991, 0.6991, 0.8954)  6 O 2.08-2.19
Li (0.9074, 0.9074, 0.2959)  4 O 1.98-2.18
Mn (0.2014, 0.2014, 0.3876)  6 O 1.91-1.99
Mn (0.4040, 0.4040, 0.8134)  5 O 1.82-1.99
Co (0.5934, 0.5934, 0.1552)  3 O 1.78-1.96
Co (0.8021, 0.8021, 0.6007)  5 O 1.96-2.12
O (0.0553, 0.0553, 0.3316)  2 Co 1.96, 4 Li 1.98-2.12
O (0.1533, 0.1533, 0.0834)  1 Mn 1.91, 2 Li 2.08, 2 Co 2.09
O (0.2519, 0.2519, 0.7044)  2 Co 1.97, 1 Mn 1.99, 2 Li 2.19
O (0.3499, 0.3499, 0.4860)  2 Co 1.96, 1 Mn 2.09, 1 Li 2.15
O (0.4464, 0.4464, 0.1142)  1 Mn 1.82, 2 Li 1.98
O (0.5565, 0.5565, 0.8498)  1 Co 1.78, 2 Li 1.98
O (0.6594, 0.6594, 0.5303)  2 Mn 1.93, 1 Li 2.08
O (0.7469, 0.7469, 0.2491)  2 Mn 1.97, 3 Li 2.12-2.18
O (0.8552, 0.8552, 0.9394)  2 Mn 1.99, 3 Li 2.08-2.18, 1 Co 2.12
O (0.9449, 0.9449, 0.6620)  2 Mn 1.93, 2 Li 2.06-2.15

Computed properties:
- Crystal system: monoclinic
- Volume: 9.0 Å³ per atom
- Total moment: 6.00 μB/f.u.
- ΔE to the lowest computed polymorph: 0.062 eV/atom